Record 1
Mn2CdSe: optimized geometry, GGA-PBE.

Cell lengths 4.2774, 4.2774, 3.8448 Å; angles 90.00, 90.00, 90.00 degrees
With the nearest neighbours (Å) after each atom.
Space group P4/mmm (No. 123)
One atom of each set of equivalent atoms:
Mn (0.0000, 0.5000, 0.0000) (multiplicity 2)  4 Cd 2.88, 4 Se 2.88, 4 Mn 3.02
Cd (0.0000, 0.0000, 0.5000) (multiplicity 1)  8 Mn 2.88, 4 Se 3.02
Se (0.5000, 0.5000, 0.5000) (multiplicity 1)  8 Mn 2.88, 4 Cd 3.02

distance to the lowest polymorph of the same formula	18.1	kJ per mole of atoms


Record 2
MnCdSe2: optimized geometry, GGA-PBE.

Cell lengths 3.5037, 4.6719, 12.3021 Å; angles 90.00, 90.00, 90.00 degrees
With the nearest neighbours (Å) after each atom.
Space group Immm (No. 71)
One atom of each set of equivalent atoms:
Mn (0.0000, 0.0000, 0.0000) (multiplicity 2)  4 Se 2.45
Cd (0.0000, 0.0000, 0.5000) (multiplicity 2)  4 Se 2.89, 4 Mn 2.92
Se (0.0000, 0.5000, 0.3610) (multiplicity 4)  2 Mn 2.45


Record 3
MnCdSe3: optimized geometry, GGA-PBE.

Cell lengths 4.7655, 4.7655, 4.7655 Å; angles 90.00, 90.00, 90.00 degrees
With the nearest neighbours (Å) after each atom.
Space group Pm-3m (No. 221)
One atom of each set of equivalent atoms:
Mn (0.0000, 0.0000, 0.0000) (multiplicity 1)  6 Se 2.38
Cd (0.5000, 0.5000, 0.5000) (multiplicity 1)  12 Se 3.37
Se (0.0000, 0.0000, 0.5000) (multiplicity 3)  2 Mn 2.38

distance to the lowest polymorph of the same formula	0.0	kJ per mole of atoms


Record 4
MnCd3Se: optimized geometry, GGA-PBE.

Cell lengths 5.3570, 5.3570, 5.3570 Å; angles 90.00, 90.00, 90.00 degrees
With the nearest neighbours (Å) after each atom.
Space group Pm-3m (No. 221)
One atom of each set of equivalent atoms:
Mn (0.0000, 0.0000, 0.0000) (multiplicity 1)  12 Cd 3.79
Cd (0.0000, 0.5000, 0.5000) (multiplicity 3)  2 Se 2.68
Se (0.5000, 0.5000, 0.5000) (multiplicity 1)  6 Cd 2.68

distance to the lowest polymorph of the same formula	13.4	kJ per mole of atoms


Record 5
Mn2CdSe: optimized geometry, GGA-PBE.

Cell lengths 3.2068, 3.2068, 7.2606 Å; angles 90.00, 90.00, 90.00 degrees
With the nearest neighbours (Å) after each atom.
Space group P4mm (No. 99)
One atom of each set of equivalent atoms:
Mn (0.0000, 0.0000, 0.0000) (multiplicity 1)  1 Se 2.59, 4 Mn 2.74, 4 Cd 2.83
Mn (0.5000, 0.5000, 0.2107) (multiplicity 1)  4 Se 2.50, 4 Mn 2.74
Cd (0.5000, 0.5000, 0.7661) (multiplicity 1)  4 Mn 2.83
Se (0.0000, 0.0000, 0.3567) (multiplicity 1)  5 Mn 2.50-2.59

distance to the lowest polymorph of the same formula	0.0	kJ per mole of atoms


Record 6
MnCdSe2: optimized geometry, GGA-PBE.

Cell lengths 3.4494, 3.4494, 27.1387 Å; angles 90.00, 90.00, 120.00 degrees
With the nearest neighbours (Å) after each atom.
Space group R-3m (No. 166, hexagonal axes)
One atom of each set of equivalent atoms:
Mn (0.0000, 0.0000, 0.0000) (multiplicity 3)  6 Se 2.46
Cd (0.0000, 0.0000, 0.5000) (multiplicity 3)  2 Se 3.07
Se (0.0000, 0.0000, 0.3867) (multiplicity 6)  3 Mn 2.46


Record 7
MnCdSe2: optimized geometry, GGA-PBE.

Cell lengths 7.0092, 4.0570, 14.9557 Å; angles 90.00, 90.00, 90.00 degrees
With the nearest neighbours (Å) after each atom.
Space group Pnma (No. 62)
One atom of each set of equivalent atoms:
Mn (0.1967, 0.2500, 0.1630) (multiplicity 4)  4 Se 2.54-2.56
Cd (0.1749, 0.7500, 0.4111) (multiplicity 4)  3 Se 2.66-2.69
Se (0.1647, 0.7500, 0.8196) (multiplicity 4)  2 Mn 2.54-2.55, 2 Cd 2.69
Se (0.2022, 0.2500, 0.5698) (multiplicity 4)  2 Mn 2.56, 1 Cd 2.66


Record 8
Mn2CdSe: optimized geometry, GGA-PBE.

Cell lengths 5.8102, 3.3506, 7.9232 Å; angles 90.00, 103.99, 90.00 degrees
With the nearest neighbours (Å) after each atom.
Space group C2/m (No. 12)
One atom of each set of equivalent atoms:
Mn (0.2397, 0.0000, 0.2206) (multiplicity 4)  3 Se 2.57
Cd (0.0000, 0.0000, 0.5000) (multiplicity 2)  6 Mn 2.89
Se (0.0000, 0.5000, 0.0000) (multiplicity 2)  6 Mn 2.57

distance to the lowest polymorph of the same formula	8.2	kJ per mole of atoms


Record-wise density of states at the Fermi level values, in states/eV/f.u.: 3.11, 0.44, 9.07, 4.29, 1.86, 1.64, 0.15, 3.10
Record-wise energy relative to the elements, uncorrected values, in kJ/mol of formula units: 99.1, -112.4, 117.2, 343.6, 26.7, -120.3, -167.4, 59.4
Record-wise uncorrected energy values, in eV for the cell shown: -21.71, -36.44, -19.32, -11.84, -22.46, -54.90, -75.16, -44.25